This record from Alexandria describes a relaxed MnSn2F4 crystal. The functional is PBE with a Hubbard U.

Values from the calculation:
The total moment is 4.7 μB/cell. The value obtained for the calculated total energy is -5.15 eV/atom.

Cell and atoms, written as POSCAR:
```
MnSn2F4
1.0
-2.2114 2.0300 2.8862
1.9754 -2.1102 2.9977
5.9727 6.1280 3.2703
F Sn Mn
4 2 1
Cartesian
0.9877 -1.0551 1.4989 F
4.4174 4.5530 3.1865 F
-1.1057 1.0150 1.4431 F
1.3193 1.4949 5.9678 F
2.7458 2.9395 6.0447 Sn
2.9909 3.1083 3.1096 Sn
0.0000 0.0000 0.0000 Mn
```